The following is a GGA+U calculation of an optimized crystal structure of LiV2P4H2O16, from the Alexandria database.

```
LiV2P4H2O16
1.0
-2.392 3.529 -6.469
-7.620 -4.715 2.490
2.445 7.227 5.403
Li V P H O
2 4 8 4 32
direct
0.643 0.090 0.457
0.356 0.411 0.040
0.500 0.250 0.251
0.005 0.003 0.498
0.986 0.495 0.998
0.503 0.754 0.754
0.735 0.607 0.262
0.730 0.101 0.749
0.772 0.497 0.648
0.775 0.007 0.147
0.232 0.500 0.353
0.232 0.007 0.851
0.262 0.401 0.743
0.262 0.892 0.241
0.484 0.267 0.755
0.491 0.757 0.253
0.010 0.499 0.491
0.013 0.991 0.984
0.950 0.063 0.116
0.663 0.134 0.180
0.362 0.185 0.011
0.324 0.040 0.213
0.834 0.065 0.617
0.844 0.558 0.129
0.676 0.456 0.287
0.637 0.318 0.496
0.559 0.137 0.680
0.560 0.633 0.181
0.334 0.366 0.321
0.187 0.511 0.189
0.180 0.036 0.700
0.951 0.564 0.626
0.873 0.259 0.923
0.877 0.765 0.428
0.128 0.247 0.570
0.126 0.727 0.074
0.047 0.441 0.378
0.826 0.475 0.810
0.807 0.983 0.303
0.660 0.622 0.689
0.440 0.372 0.821
0.440 0.863 0.319
0.372 0.672 0.513
0.326 0.562 0.730
0.165 0.436 0.880
0.158 0.938 0.372
0.678 0.944 0.771
0.630 0.833 0.983
0.346 0.882 0.814
0.056 0.929 0.876
```

Values from the calculation:
- total DFT energy (no corrections) (Ry/atom) = -0.5097